[1]
VASP calculation (PBE) on a relaxed Al4CdPd5 crystal.

Properties
The density of states at the Fermi level is 3.23 states/eV per cell. For the formation energy, the calculation gives -8.05 eV per formula unit. As for the space group: P4/mmm (123).

Cell: 3.0653 3.0653 16.1160 Å, 90.00 90.00 90.00°
With the nearest neighbours (Å) after each atom.
Sites, in units of the cell vectors:
Cd: 0.0000 0.0000 0.0000  8 Pd 2.94, 4 Cd 3.07
Pd: 0.5000 0.5000 0.3094  8 Al 2.66-2.68
Pd: 0.5000 0.5000 0.6906  8 Al 2.66-2.68
Pd: 0.5000 0.5000 0.1234  4 Al 2.60
Al: 0.0000 0.0000 0.2120  8 Pd 2.60-2.68
Al: 0.0000 0.0000 0.4047  8 Pd 2.66
Pd: 0.5000 0.5000 0.5000  8 Al 2.66
Al: 0.0000 0.0000 0.7880  8 Pd 2.60-2.68
Pd: 0.5000 0.5000 0.8766  4 Al 2.60
Al: 0.0000 0.0000 0.5953  8 Pd 2.66



[2]
VASP calculation (PBE) on a relaxed AlCd3Pd6 crystal.

Properties
The density of states at the Fermi level is 5.37 states/eV per cell. For the formation energy, the calculation gives -4.92 eV per formula unit. As for the space group: P2_1/m (11).

Cell: 4.2589 8.4295 9.2423 Å, 97.13 90.00 90.00°
With the nearest neighbours (Å) after each atom.
Sites, in units of the cell vectors:
Cd: 0.2500 0.5486 0.4012  8 Pd 2.78-3.01, 4 Cd 2.98
Pd: 0.2500 0.6603 0.6976  1 Al 2.57, 2 Pd 2.78, 5 Cd 2.78-2.88
Pd: 0.2500 0.2169 0.4903  3 Al 2.64-2.72, 3 Pd 2.75-2.88, 1 Cd 2.86
Al: 0.7500 0.0581 0.3831  8 Pd 2.55-2.72
Pd: 0.7500 0.9498 0.1128  1 Al 2.55, 4 Cd 2.76-2.79, 3 Pd 2.76-2.83
Al: 0.2500 0.9419 0.6169  8 Pd 2.55-2.72
Pd: 0.2500 0.1502 0.1915  8 Pd 2.75-2.83, 2 Al 2.93, 2 Cd 2.94
Cd: 0.2500 0.7591 0.0010  10 Pd 2.79-3.05, 2 Cd 3.07
Cd: 0.7500 0.6526 0.2084  8 Pd 2.76-2.96, 4 Cd 2.98-3.07
Pd: 0.7500 0.7831 0.5097  3 Al 2.64-2.72, 3 Pd 2.75-2.88, 1 Cd 2.86
Cd: 0.7500 0.4514 0.5988  8 Pd 2.78-3.01, 4 Cd 2.98
Pd: 0.2500 0.8755 0.3270  3 Al 2.64-2.67, 3 Pd 2.77-2.88, 1 Cd 2.92
Pd: 0.7500 0.3397 0.3024  1 Al 2.57, 2 Pd 2.78, 5 Cd 2.78-2.88
Pd: 0.2500 0.0502 0.8872  1 Al 2.55, 4 Cd 2.76-2.79, 3 Pd 2.76-2.83
Pd: 0.2500 0.4516 0.0982  5 Pd 2.78-3.07, 7 Cd 2.82-2.86
Pd: 0.7500 0.8498 0.8085  8 Pd 2.75-2.83, 2 Al 2.93, 2 Cd 2.94
Pd: 0.7500 0.1245 0.6730  3 Al 2.64-2.67, 3 Pd 2.77-2.88, 1 Cd 2.92
Pd: 0.7500 0.5484 0.9018  5 Pd 2.78-3.07, 7 Cd 2.82-2.86
Cd: 0.7500 0.2409 0.9990  10 Pd 2.79-3.05, 2 Cd 3.07
Cd: 0.2500 0.3474 0.7916  8 Pd 2.76-2.96, 4 Cd 2.98-3.07



[3]
VASP calculation (PBE) on a relaxed Al2CdPd2 crystal.

Properties
The density of states at the Fermi level is 2.05 states/eV per cell. For the formation energy, the calculation gives -2.55 eV per formula unit. As for the space group: I4/mmm (139).

Cell: 3.8044 3.8044 6.6494 Å, 73.38 73.38 90.00°
With the nearest neighbours (Å) after each atom.
Sites, in units of the cell vectors:
Al: 0.7500 0.2500 0.5000  4 Pd 2.52, 4 Al 2.69
Pd: 0.6136 0.6136 0.7729  4 Al 2.52, 1 Pd 2.76
Cd: 0.0000 0.0000 0.0000  8 Pd 3.02
Al: 0.2500 0.7500 0.5000  4 Pd 2.52, 4 Al 2.69
Pd: 0.3864 0.3864 0.2271  4 Al 2.52, 1 Pd 2.76